# 1
Below is a relaxed structure of YAlPCl2, with properties calculated at the GGA-PBE level.

a = 5.1650 Å, b = 5.1650 Å, c = 5.6253 Å
α = 90.00°, β = 90.00°, γ = 90.00°
Atoms (fractional coordinates):
Y 0.0000 0.0000 0.0000
Cl 0.5000 0.0000 0.0000
Cl 0.0000 0.5000 0.0000
P 0.0000 0.0000 0.5000
Al 0.5000 0.5000 0.5000

Formation energy without anion corrections = -702 meV per atom
Symmetry = No. 123
M_tot = 0.000 μB per formula unit
Energy above the lowest structure with this stoichiometry = 11 meV/atom
Density of states at the Fermi level = 2.96 states/eV per cell
Calculated total energy = -22.82 eV per formula unit

# 2
Below is a relaxed structure of SrTbNi10, with properties calculated at the GGA-PBE level.

a = 3.9492 Å, b = 4.9755 Å, c = 8.6130 Å
α = 90.00°, β = 90.00°, γ = 90.00°
Last column: magnetic moment on the atom in μB.
Atoms (fractional coordinates):
Tb 0.0000 0.5000 0.5000  -0.10
Ni 0.5000 0.5000 0.0000  0.44
Ni 0.5000 0.7454 0.7421  0.44
Ni 0.0000 0.5000 0.8243  0.37
Ni 0.0000 0.0000 0.3405  0.33
Ni 0.5000 0.2546 0.7421  0.44
Ni 0.5000 0.0000 0.5000  0.40
Ni 0.0000 0.5000 0.1757  0.37
Ni 0.0000 0.0000 0.6595  0.33
Ni 0.5000 0.2546 0.2579  0.44
Ni 0.5000 0.7454 0.2579  0.44
Sr 0.0000 0.0000 0.0000  -0.03

Symmetry = No. 47
M_tot = 3.547 μB per formula unit
Density of states at the Fermi level = 15.85 states/eV per cell
Calculated total energy = -66.18 eV per formula unit

# 3
Below is a relaxed structure of Pr3Y2Ho2, with properties calculated at the GGA-PBE level.

a = 3.5448 Å, b = 8.6199 Å, c = 9.0317 Å
α = 117.98°, β = 101.32°, γ = 90.00°
Atoms (fractional coordinates):
Ho 0.5643 0.9093 0.1287
Ho 0.4357 0.0907 0.8713
Pr 0.2135 0.7994 0.4269
Pr 0.7865 0.2006 0.5731
Pr 0.0000 0.5000 0.0000
Y 0.1426 0.3213 0.2853
Y 0.8574 0.6787 0.7147

Symmetry = No. 12
M_tot = 0.000 μB per formula unit
Energy above the lowest structure with this stoichiometry = 63 meV/atom
Density of states at the Fermi level = 11.27 states/eV per cell
Calculated total energy = -35.68 eV per formula unit

# 4
Below is a relaxed structure of PmPrGaPd, with properties calculated at the GGA-PBE level.

a = 4.2192 Å, b = 4.4343 Å, c = 5.8474 Å
α = 90.00°, β = 111.15°, γ = 90.00°
Atoms (fractional coordinates):
Pr 0.1425 0.0000 0.2850
Ga 0.5724 0.5000 0.1449
Pd 0.4248 0.0000 0.8495
Pm 0.8603 0.5000 0.7206

Symmetry = No. 38
M_tot = 0.000 μB per formula unit
Energy above the lowest structure with this stoichiometry = 0 meV/atom
Density of states at the Fermi level = 4.18 states/eV per cell
Calculated total energy = -20.40 eV per formula unit

# 5
Below is a relaxed structure of La3Pm3Mg, with properties calculated at the GGA-PBE level.

a = 5.8118 Å, b = 9.7530 Å, c = 9.7530 Å
α = 120.00°, β = 90.00°, γ = 90.00°
Atoms (fractional coordinates):
Pm 0.2500 0.1844 0.9462
Pm 0.2500 0.7618 0.8156
Pm 0.7500 0.2382 0.1844
Pm 0.7500 0.8156 0.0538
Pm 0.2500 0.0538 0.2383
Pm 0.7500 0.9462 0.7617
La 0.7500 0.3704 0.8968
La 0.2500 0.4737 0.3705
La 0.7500 0.5263 0.6295
La 0.7500 0.1032 0.4736
La 0.2500 0.6296 0.1032
La 0.2500 0.8968 0.5263
Mg 0.7500 0.6667 0.3333
Mg 0.2500 0.3333 0.6667

Symmetry = No. 176
M_tot = 0.006 μB per formula unit
Energy above the lowest structure with this stoichiometry = 0 meV/atom
Density of states at the Fermi level = 20.55 states/eV per cell
Calculated total energy = -30.55 eV per formula unit

# 6
Below is a relaxed structure of CaMnPb2, with properties calculated at the GGA-PBE level.

a = 4.4891 Å, b = 6.3844 Å, c = 7.7695 Å
α = 90.00°, β = 90.00°, γ = 110.44°
Last column: magnetic moment on the atom in μB.
Atoms (fractional coordinates):
Ca 0.0682 0.1355 0.7500  -0.05
Ca 0.9318 0.8645 0.2500  -0.05
Pb 0.6375 0.2744 0.4578  -0.07
Pb 0.3625 0.7256 0.5422  -0.07
Pb 0.3625 0.7256 0.9578  -0.07
Pb 0.6375 0.2744 0.0422  -0.07
Mn 0.2041 0.4090 0.2500  3.54
Mn 0.7959 0.5910 0.7500  3.54

Symmetry = No. 11
M_tot = 3.338 μB per formula unit
Density of states at the Fermi level = 3.02 states/eV per cell
Calculated total energy = -18.85 eV per formula unit

# 7
Below is a relaxed structure of InCuPb2, with properties calculated at the GGA-PBE level.

a = 9.2505 Å, b = 9.2505 Å, c = 7.0507 Å
α = 49.00°, β = 49.00°, γ = 90.00°
Atoms (fractional coordinates):
Pb 0.2263 0.6250 0.2500
Pb 0.5237 0.1250 0.2500
Pb 0.3750 0.4763 0.7500
Pb 0.8750 0.7737 0.7500
Cu 0.5000 0.5000 0.0000
Cu 0.2500 0.7500 0.5000
In 0.7500 0.2500 0.5000
In 0.0000 0.0000 0.0000

Symmetry = No. 122
M_tot = 0.000 μB per formula unit
Density of states at the Fermi level = 2.60 states/eV per cell
Calculated total energy = -13.55 eV per formula unit

# 8
Below is a relaxed structure of TlF3, with properties calculated at the GGA-PBE level.

a = 5.0354 Å, b = 5.9126 Å, c = 7.2499 Å
α = 90.00°, β = 90.00°, γ = 90.00°
Atoms (fractional coordinates):
F 0.1698 0.3420 0.0700
F 0.8302 0.6580 0.9300
F 0.1698 0.3420 0.4300
F 0.1435 0.0404 0.7500
F 0.3565 0.5404 0.7500
F 0.6698 0.1580 0.9300
F 0.8565 0.9596 0.2500
F 0.6435 0.4596 0.2500
F 0.3302 0.8420 0.4300
F 0.3302 0.8420 0.0700
F 0.6698 0.1580 0.5700
F 0.8302 0.6580 0.5700
Tl 0.5392 0.8705 0.7500
Tl 0.9608 0.3705 0.7500
Tl 0.4608 0.1295 0.2500
Tl 0.0392 0.6295 0.2500

Formation energy without anion corrections = -1781 meV per atom
Symmetry = No. 62
M_tot = 0.000 μB per formula unit
Calculated total energy = -15.10 eV per formula unit

# 9
Below is a relaxed structure of PaTiSb, with properties calculated at the GGA-PBE level.

a = 3.7432 Å, b = 8.6790 Å, c = 8.2991 Å
α = 90.00°, β = 90.00°, γ = 90.00°
Atoms (fractional coordinates):
Sb 0.7500 0.3657 0.2108
Sb 0.2500 0.8657 0.2892
Sb 0.7500 0.1343 0.7108
Sb 0.2500 0.6343 0.7892
Pa 0.2500 0.3590 0.5134
Pa 0.2500 0.1410 0.0134
Pa 0.7500 0.6410 0.4866
Pa 0.7500 0.8590 0.9866
Ti 0.2500 0.9171 0.6240
Ti 0.2500 0.5829 0.1240
Ti 0.7500 0.4171 0.8760
Ti 0.7500 0.0829 0.3760

Formation energy without anion corrections = -362 meV per atom
Symmetry = No. 62
M_tot = 0.000 μB per formula unit
Energy above the lowest structure with this stoichiometry = 0 meV/atom
Density of states at the Fermi level = 16.51 states/eV per cell
Calculated total energy = -22.60 eV per formula unit

# 10
Below is a relaxed structure of Sc6SnSe3S2, with properties calculated at the GGA-PBE level.

a = 3.8201 Å, b = 7.8216 Å, c = 8.6722 Å
α = 103.16°, β = 102.72°, γ = 90.00°
Atoms (fractional coordinates):
S 0.8316 0.6605 0.6632
S 0.1684 0.3395 0.3368
Sc 0.0092 0.2661 0.0185
Sc 0.6750 0.5723 0.3499
Sc 0.3270 0.8879 0.6541
Sc 0.3250 0.4277 0.6501
Sc 0.9908 0.7339 0.9815
Sc 0.6730 0.1121 0.3459
Se 0.8366 0.1670 0.6731
Se 0.1634 0.8330 0.3269
Se 0.5000 0.5000 0.0000
Sn 0.5000 0.0000 0.0000

Formation energy without anion corrections = -1502 meV per atom
Symmetry = No. 12
M_tot = 0.000 μB per formula unit
Density of states at the Fermi level = 4.85 states/eV per cell
Calculated total energy = -78.72 eV per formula unit

# 11
Below is a relaxed structure of K2Tm2SbSe6, with properties calculated at the GGA-PBE level.

a = 7.0951 Å, b = 7.0951 Å, c = 8.2533 Å
α = 98.17°, β = 98.17°, γ = 120.09°
Atoms (fractional coordinates):
Se 0.7362 0.7362 0.6975
Se 0.0666 0.3964 0.6985
Se 0.2638 0.2638 0.3025
Se 0.6036 0.9334 0.3015
Se 0.9334 0.6036 0.3015
Se 0.3964 0.0666 0.6985
Sb 0.0000 0.0000 0.5000
Tm 0.3324 0.6676 0.5000
Tm 0.6676 0.3324 0.5000
K 0.8335 0.1665 0.0000
K 0.1665 0.8335 0.0000

Formation energy without anion corrections = -1298 meV per atom
Symmetry = No. 12
M_tot = 0.000 μB per formula unit
Density of states at the Fermi level = 4.01 states/eV per cell
Calculated total energy = -50.44 eV per formula unit

# 12
Below is a relaxed structure of Tm2Sc3Cu2, with properties calculated at the GGA-PBE level.

a = 3.4043 Å, b = 6.1669 Å, c = 8.2105 Å
α = 101.08°, β = 101.97°, γ = 106.02°
Last column: magnetic moment on the atom in μB.
Atoms (fractional coordinates):
Tm 0.3416 0.4917 0.1914  0.09
Tm 0.6584 0.5083 0.8086  0.09
Sc 0.1709 0.7864 0.5555  0.09
Sc 0.5000 0.0000 0.0000  0.03
Sc 0.8291 0.2136 0.4445  0.09
Cu 0.0632 0.8954 0.2311  0.01
Cu 0.9368 0.1046 0.7689  0.01

Symmetry = No. 12
M_tot = 0.580 μB per formula unit
Energy above the lowest structure with this stoichiometry = 0 meV/atom
Density of states at the Fermi level = 10.70 states/eV per cell
Calculated total energy = -37.01 eV per formula unit